(1)
The following is a DFT calculation (SCAN) of a PBEsol-optimized structure of AgSeBr2.

Cell lengths 3.6664, 3.9315, 7.5865 Å; angles 105.02, 103.98, 90.00 degrees
Closest atoms and distances in Å follow each position.
Fractional positions:
1 Ag 0.7841 0.2841 0.5681  4 Br 2.75
2 Br 0.9998 0.9998 0.9997  4 Se 2.71
3 Br 0.2428 0.7428 0.4855  4 Ag 2.75
4 Se 0.4733 0.4733 0.9467  4 Br 2.71

Values from the calculation:
Its formation energy (no corrections) is 0.07 eV/atom. The energy above the most stable polymorph in this dataset comes out at 0.034 eV per atom.

(2)
The following is a DFT calculation (SCAN) of a PBEsol-optimized structure of BaGa2Au.

Cell lengths 5.0249, 5.0249, 5.0249 Å; angles 60.00, 60.00, 60.00 degrees
Closest atoms and distances in Å follow each position.
Fractional positions:
1 Au 0.5000 0.5000 0.5000  8 Ga 3.08
2 Ba 0.0000 0.0000 0.0000  8 Ga 3.08
3 Ga 0.2500 0.2500 0.2500  4 Ba 3.08, 4 Au 3.08
4 Ga 0.7500 0.7500 0.7500  4 Au 3.08, 4 Ba 3.08

Values from the calculation:
The formation energy comes out at -202 meV/atom.

(3)
The following is a DFT calculation (SCAN) of a PBEsol-optimized structure of MgTa2P.

Cell lengths 3.3851, 4.6959, 5.1033 Å; angles 117.39, 109.37, 90.00 degrees
Closest atoms and distances in Å follow each position.
Fractional positions:
1 Mg 0.5000 0.0000 0.0000  4 P 2.89, 8 Ta 2.95
2 P 0.0000 0.5000 0.0000  4 Ta 2.47
3 Ta 0.7132 0.7132 0.4264  2 P 2.47
4 Ta 0.2868 0.2868 0.5736  2 P 2.47

Values from the calculation:
The formation energy comes out at -52 meV/atom. The energy above the most stable polymorph in this dataset comes out at 0.014 eV per atom.

(4)
The following is a DFT calculation (SCAN) of a PBEsol-optimized structure of BaP2Os2.

Cell lengths 4.0417, 4.0417, 6.6522 Å; angles 107.69, 107.69, 90.00 degrees
Closest atoms and distances in Å follow each position.
Fractional positions:
1 P 0.3462 0.3462 0.6923  4 Os 2.33
2 P 0.6538 0.6538 0.3077  4 Os 2.33
3 Os 0.7500 0.2500 0.5000  4 P 2.33
4 Os 0.2500 0.7500 0.5000  4 P 2.33
5 Ba 0.0000 0.0000 0.0000  8 P 3.40, 8 Os 3.62

Values from the calculation:
The formation energy comes out at -757 meV/atom.

(5)
The following is a DFT calculation (SCAN) of a PBEsol-optimized structure of MgGaSeN2.

Cell lengths 3.8336, 3.8336, 5.4092 Å; angles 90.00, 90.00, 90.00 degrees
Closest atoms and distances in Å follow each position.
Fractional positions:
1 Mg 0.5000 0.5000 0.5000  4 Se 2.71
2 Ga 0.0000 0.0000 0.0000  4 N 1.92
3 Se 0.0000 0.0000 0.5000  2 Ga 2.70, 4 Mg 2.71
4 N 0.0000 0.5000 0.0000  2 Ga 1.92
5 N 0.5000 0.0000 0.0000  2 Ga 1.92

Values from the calculation:
Its formation energy (no corrections) is 0.57 eV/atom.

(6)
The following is a DFT calculation (SCAN) of a PBEsol-optimized structure of HfSc3Si8.

Cell lengths 3.6383, 3.7225, 14.2218 Å; angles 90.00, 90.00, 90.00 degrees
Closest atoms and distances in Å follow each position.
Fractional positions:
1 Hf 0.0000 0.0000 0.1024  10 Si 2.70-2.95
2 Sc 0.0000 0.5000 0.6022  10 Si 2.69-2.88
3 Sc 0.5000 0.5000 0.3982  10 Si 2.70-2.91
4 Sc 0.5000 0.0000 0.8992  10 Si 2.67-2.87
5 Si 0.0000 0.0000 0.4474  2 Si 2.38
6 Si 0.0000 0.5000 0.9412  2 Si 2.42, 4 Sc 2.67
7 Si 0.5000 0.5000 0.0531  2 Si 2.42, 4 Hf 2.70
8 Si 0.5000 0.0000 0.5558  2 Si 2.38
9 Si 0.0000 0.5000 0.2494  4 Si 2.60, 2 Sc 2.79, 2 Hf 2.80
10 Si 0.0000 0.0000 0.7504  4 Si 2.60, 4 Sc 2.79-2.81
11 Si 0.5000 0.0000 0.2500  4 Si 2.60, 2 Hf 2.78, 2 Sc 2.81
12 Si 0.5000 0.5000 0.7507  4 Si 2.60, 4 Sc 2.79-2.82

Values from the calculation:
Its formation energy (no corrections) is -0.50 eV/atom.

(7)
The following is a DFT calculation (SCAN) of a PBEsol-optimized structure of YMgAg.

Cell lengths 4.0629, 7.6231, 7.6231 Å; angles 120.00, 90.00, 90.00 degrees
Closest atoms and distances in Å follow each position.
Fractional positions:
1 Y 0.5000 0.5871 0.0000  5 Ag 3.07-3.15, 6 Mg 3.29-3.41
2 Y 0.5000 0.0000 0.5871  5 Ag 3.07-3.15, 6 Mg 3.29-3.41
3 Y 0.5000 0.4129 0.4129  5 Ag 3.07-3.15, 6 Mg 3.29-3.41
4 Mg 0.0000 0.2472 0.0000  4 Ag 2.77-2.93
5 Mg 0.0000 0.7528 0.7528  4 Ag 2.77-2.93
6 Mg 0.0000 0.0000 0.2472  4 Ag 2.77-2.93
7 Ag 0.0000 0.3333 0.6667  3 Mg 2.93, 6 Y 3.07
8 Ag 0.0000 0.6667 0.3333  3 Mg 2.93, 6 Y 3.07
9 Ag 0.5000 0.0000 0.0000  6 Mg 2.77

Values from the calculation:
The formation energy comes out at -385 meV/atom.

(8)
The following is a DFT calculation (SCAN) of a PBEsol-optimized structure of Sb2TeRuPt.

Cell lengths 5.0532, 5.0532, 5.2441 Å; angles 90.00, 90.00, 90.00 degrees
Closest atoms and distances in Å follow each position.
Fractional positions:
1 Sb 0.0000 0.5000 0.0000  2 Pt 2.53
2 Sb 0.5000 0.0000 0.0000  2 Pt 2.53
3 Te 0.0000 0.0000 0.5000  2 Pt 2.62
4 Pt 0.0000 0.0000 0.0000  4 Sb 2.53, 2 Te 2.62
5 Ru 0.5000 0.5000 0.5000  4 Te 3.57, 8 Sb 3.64

Values from the calculation:
Its formation energy (no corrections) is 1.01 eV/atom.

(9)
The following is a DFT calculation (SCAN) of a PBEsol-optimized structure of TcNi2Se.

Cell lengths 2.7316, 4.0714, 4.5567 Å; angles 90.00, 90.00, 90.00 degrees
Closest atoms and distances in Å follow each position.
Fractional positions:
1 Ni 0.0000 0.0000 0.0251  4 Ni 2.45-2.73, 4 Tc 2.59, 4 Se 2.60-2.72
2 Ni 0.0000 0.5000 0.7250  4 Ni 2.45-2.73, 4 Se 2.59, 4 Tc 2.59-2.72
3 Se 0.5000 0.0000 0.5407  2 Tc 2.54, 8 Ni 2.59-2.72, 2 Se 2.73
4 Tc 0.5000 0.5000 0.2092  2 Se 2.54, 8 Ni 2.59-2.72, 2 Tc 2.73

Values from the calculation:
Its formation energy (no corrections) is 0.30 eV/atom.

(10)
The following is a DFT calculation (SCAN) of a PBEsol-optimized structure of LiPt2W.

Cell lengths 2.7006, 4.3943, 5.8768 Å; angles 111.95, 103.28, 90.00 degrees
Closest atoms and distances in Å follow each position.
Fractional positions:
1 Li 0.7473 0.2473 0.4945  4 Pt 2.58, 2 Li 2.70
2 Pt 0.9700 0.9700 0.9400  4 W 2.68, 4 Pt 2.70-2.73
3 Pt 0.2454 0.7454 0.4907  2 W 2.58, 4 Li 2.58, 4 Pt 2.70-2.73
4 W 0.5374 0.5374 0.0747  6 Pt 2.58-2.68, 2 W 2.70

Values from the calculation:
The formation energy comes out at -328 meV/atom.

(11)
The following is a DFT calculation (SCAN) of a PBEsol-optimized structure of LiMn2O4.

Cell lengths 5.6890, 5.6925, 5.6890 Å; angles 119.98, 90.00, 119.98 degrees
Closest atoms and distances in Å follow each position.
Fractional positions:
1 Li 0.8749 0.7499 0.1249  4 O 1.92
2 Li 0.1251 0.2501 0.8751  4 O 1.92
3 Mn 0.5000 0.0000 0.5000  6 O 1.92
4 Mn 0.5000 0.5000 0.5000  6 O 1.92
5 Mn 0.5000 0.0000 0.0000  6 O 1.92
6 Mn 0.0000 0.5000 0.5000  6 O 1.92
7 O 0.7372 0.4745 0.2623  3 Mn 1.92, 1 Li 1.92
8 O 0.7377 0.0255 0.2628  3 Mn 1.92, 1 Li 1.92
9 O 0.7372 0.4745 0.7122  3 Mn 1.92, 1 Li 1.92
10 O 0.2878 0.0255 0.2628  3 Mn 1.92, 1 Li 1.92
11 O 0.2628 0.5255 0.7377  3 Mn 1.92, 1 Li 1.92
12 O 0.2623 0.9745 0.7372  3 Mn 1.92, 1 Li 1.92
13 O 0.2628 0.5255 0.2878  3 Mn 1.92, 1 Li 1.92
14 O 0.7122 0.9745 0.7372  3 Mn 1.92, 1 Li 1.92

Values from the calculation:
Its formation energy (no corrections) is -2.25 eV/atom. The energy above the most stable polymorph in this dataset comes out at 0.000 eV per atom.

(12)
The following is a DFT calculation (SCAN) of a PBEsol-optimized structure of Li2ZrSb.

Cell lengths 4.0398, 4.0398, 5.7892 Å; angles 110.42, 110.42, 90.00 degrees
Closest atoms and distances in Å follow each position.
Fractional positions:
1 Sb 0.5000 0.5000 0.0000  4 Zr 2.86
2 Zr 0.0000 0.0000 0.0000  4 Sb 2.86
3 Li 0.7500 0.2500 0.5000  4 Li 2.86
4 Li 0.2500 0.7500 0.5000  4 Li 2.86

Values from the calculation:
Its formation energy (no corrections) is -0.23 eV/atom.

Number 1: volume 102 Å³ per cell, M_tot 0.00 μB per formula unit. Number 2: volume 90 Å³ per cell, M_tot 0.00 μB per formula unit. Number 3: volume 67 Å³ per cell, M_tot 0.00 μB per formula unit. Number 4: volume 98 Å³ per cell, M_tot 0.00 μB per formula unit. Number 5: volume 79 Å³ per cell, M_tot 3.00 μB per formula unit. Number 6: volume 193 Å³ per cell, M_tot 0.00 μB per formula unit. Number 7: volume 204 Å³ per cell, M_tot 0.00 μB per formula unit. Number 8: volume 134 Å³ per cell, M_tot 1.94 μB per formula unit. Number 9: volume 51 Å³ per cell, M_tot 0.00 μB per formula unit. Number 10: volume 63 Å³ per cell, M_tot 0.00 μB per formula unit. Number 11: volume 130 Å³ per cell, M_tot 5.00 μB per formula unit. Number 12: volume 82 Å³ per cell, M_tot 0.84 μB per formula unit.